(1)
VASP calculation (GGA-PBE) on an optimized crystal structure of CaNi2Te.

Values from the calculation:
The calculation puts the energy relative to the elements, uncorrected at -0.36 eV/atom. As for the symmetry: Cm (8).

a b c (Å): 4.1964 4.1964 5.8069
angles (deg): 68.83 68.83 59.90
Closest atoms and distances in Å follow each position.
Positions (direct):
Ni 0.0547 0.0547 0.8355  3 Ni 2.42, 3 Te 2.65-2.66
Ni 0.7268 0.7268 0.8196  3 Ni 2.42, 3 Te 2.62
Ca 0.2615 0.2615 0.2159  4 Te 3.10-3.26, 7 Ni 3.14-3.27
Te 0.4570 0.4570 0.6290  6 Ni 2.62-2.66

---

(2)
VASP calculation (GGA-PBE) on an optimized crystal structure of Pr8Dy5Y.

Values from the calculation:
As for the energy of formation: 0.25 eV per atom. As for the symmetry: I-4 (82).

a b c (Å): 8.6418 8.6418 8.6418
angles (deg): 111.11 106.25 111.11
Closest atoms and distances in Å follow each position.
Positions (direct):
Pr 0.1649 0.7330 0.0749  4 Dy 3.22-3.55, 1 Y 3.26
Pr 0.9251 0.0900 0.6581  4 Dy 3.22-3.55, 1 Y 3.26
Pr 0.7322 0.2588 0.3360  5 Dy 3.42-3.66, 3 Pr 3.63-3.73
Pr 0.6640 0.3962 0.9227  5 Dy 3.42-3.66, 3 Pr 3.63-3.73
Pr 0.5265 0.6038 0.2678  5 Dy 3.42-3.66, 3 Pr 3.63-3.73
Pr 0.5681 0.9100 0.8351  4 Dy 3.22-3.55, 1 Y 3.26
Pr 0.3419 0.2670 0.4319  4 Dy 3.22-3.55, 1 Y 3.26
Pr 0.0773 0.7412 0.4735  5 Dy 3.42-3.66, 3 Pr 3.63-3.73
Dy 0.0346 0.3118 0.1308  8 Pr 3.40-3.66, 2 Dy 3.53
Dy 0.8692 0.9038 0.1810  8 Pr 3.40-3.66, 2 Dy 3.53
Dy 0.8190 0.6882 0.7228  8 Pr 3.40-3.66, 2 Dy 3.53
Dy 0.5000 0.0000 0.5000  8 Pr 3.22-3.42
Dy 0.2772 0.0962 0.9654  8 Pr 3.40-3.66, 2 Dy 3.53
Y 0.2500 0.5000 0.7500  4 Pr 3.26

---

(3)
VASP calculation (GGA-PBE) on an optimized crystal structure of GaNi2Pt.

Values from the calculation:
As for the energy of formation: -0.38 eV per atom. As for the symmetry: P4/mmm (123).

a b c (Å): 3.7137 3.7137 3.7404
angles (deg): 90.00 90.00 90.00
Closest atoms and distances in Å follow each position.
Positions (direct):
Ni 0.5000 0.0000 0.5000  4 Ni 2.63, 4 Pt 2.64, 4 Ga 2.64
Ni 0.0000 0.5000 0.5000  4 Ni 2.63, 4 Pt 2.64, 4 Ga 2.64
Ga 0.0000 0.0000 0.0000  4 Pt 2.63, 8 Ni 2.64
Pt 0.5000 0.5000 0.0000  4 Ga 2.63, 8 Ni 2.64

---

(4)
VASP calculation (GGA-PBE) on an optimized crystal structure of LaIn4Te.

Values from the calculation:
The calculation puts the energy relative to the elements, uncorrected at -0.24 eV/atom. As for the symmetry: F-43m (216).

a b c (Å): 6.2100 6.2100 6.2100
angles (deg): 60.00 60.00 60.00
Closest atoms and distances in Å follow each position.
Positions (direct):
La 0.7500 0.7500 0.7500  12 In 3.64, 4 Te 3.80
In 0.3753 0.8742 0.3753  6 In 3.10-3.11
In 0.8742 0.3753 0.3753  6 In 3.10-3.11
In 0.3753 0.3753 0.8742  6 In 3.10-3.11
In 0.3753 0.3753 0.3753  6 In 3.10-3.11
Te 0.0000 0.0000 0.0000  12 In 3.64, 4 La 3.80

---

Number 1: Fermi-level density of states 0.8322 states/eV per atom, total energy -4.54 eV/atom. Number 2: Fermi-level density of states 1.4956 states/eV per atom, total energy -4.59 eV/atom. Number 3: Fermi-level density of states 0.8200 states/eV per atom, total energy -5.54 eV/atom. Number 4: Fermi-level density of states 0.9175 states/eV per atom, total energy -3.41 eV/atom.